{
  "formula": "KGa4Ag2",
  "functional": "PBE",
  "state": "optimized geometry",
  "volume_a3_per_cell": 144.5,
  "formation_enthalpy_0k_ev_per_atom": 0.004,
  "space_group": "I4/mmm (139)",
  "de_polymorph_mev_per_atom": 36,
  "energy_ev_per_atom": -2.697,
  "cell": [[-3.579, 3.579, 2.820], [3.579, -3.579, 2.820], [3.579, 3.579, -2.820]],
  "species": ["K", "Ga", "Ga", "Ga", "Ga", "Ag", "Ag"],
  "frac_coords": [[0.000, 0.000, 0.000], [0.311, 0.311, 0.622], [0.311, 0.689, 0.000], [0.689, 0.311, 0.000], [0.689, 0.689, 0.378], [0.250, 0.750, 0.500], [0.750, 0.250, 0.500]]
}